## AsPtNO (GGA-PBE)

Data for a relaxed structure of AsPtNO.

## Properties
* crystal system: tetragonal
* total moment: 0.000 μB/atom
* ρ: 9.6 g/cm3
* E above lowest polymorph: 0.3920 eV per atom

abc: 4.055 4.055 6.304
angles: 90.00 90.00 90.00
Element x y z (fractional)
As: 0.250 0.250 0.145
As: 0.750 0.750 0.855
Pt: 0.250 0.750 0.500
Pt: 0.750 0.250 0.500
N: 0.250 0.250 0.588
N: 0.750 0.750 0.412
O: 0.250 0.750 0.000
O: 0.750 0.250 0.000